The following is a DFT calculation (PBE) of an optimized crystal structure of Ac2Ag6Sn3.

Geometry as POSCAR:
```
Ac2Ag6Sn3
1.0
8.3824 0.0000 0.0000
-4.1912 7.2594 0.0000
0.0000 0.0000 4.6142
Ac Ag Sn
2 6 3
Direct
0.3333 0.6667 0.0000
0.6667 0.3333 0.0000
0.0000 0.1940 0.0000
0.0000 0.7174 0.5000
0.1940 0.0000 0.0000
0.2826 0.2826 0.5000
0.7174 0.0000 0.5000
0.8060 0.8060 0.0000
0.0000 0.3785 0.5000
0.3785 0.0000 0.5000
0.6215 0.6215 0.5000
```

Values from the calculation:
- total energy (eV/atom) = -3.67
- ΔH_f (0 K) (meV per atom) = -278.2
- volume (Å³ per atom) = 25.53
- symmetry = P-62m, No. 189
- M_tot (μB per atom) = 0.00